No. 1
First-principles (PBE-GGA) data for a relaxed Na7Sn2Pb2 crystal, as listed in the Alexandria database.

a b c (Å): 6.533 6.533 8.394
angles (deg): 102.55 102.55 96.38
Atoms (fractional coordinates):
Na 0.000 0.000 0.000
Na 0.118 0.496 0.826
Na 0.176 0.176 0.445
Na 0.496 0.118 0.826
Na 0.504 0.882 0.174
Na 0.824 0.824 0.555
Na 0.882 0.504 0.174
Sn 0.386 0.386 0.187
Sn 0.614 0.614 0.813
Pb 0.296 0.704 0.500
Pb 0.704 0.296 0.500

Computed properties:
Distance to the lowest polymorph of the same formula = 0 kJ/mol of formula units
Space group = No. 12
Calculated total energy = -2.37 eV/atom
Energy of formation from the pure elements = -1.4 eV/f.u.

***

No. 2
First-principles (PBE-GGA) data for a relaxed Na3Sn6Pb2 crystal, as listed in the Alexandria database.

a b c (Å): 6.181 11.285 9.553
angles (deg): 90.00 90.00 90.00
Atoms (fractional coordinates):
Na 0.000 0.000 0.000
Na 0.000 0.500 0.307
Na 0.000 0.500 0.693
Na 0.500 0.000 0.193
Na 0.500 0.000 0.807
Na 0.500 0.500 0.500
Sn 0.153 0.252 0.500
Sn 0.167 0.235 0.177
Sn 0.167 0.235 0.823
Sn 0.333 0.735 0.323
Sn 0.333 0.735 0.677
Sn 0.347 0.752 0.000
Sn 0.653 0.248 0.000
Sn 0.667 0.265 0.323
Sn 0.667 0.265 0.677
Sn 0.833 0.765 0.177
Sn 0.833 0.765 0.823
Sn 0.847 0.748 0.500
Pb 0.248 0.958 0.500
Pb 0.252 0.458 0.000
Pb 0.748 0.542 0.000
Pb 0.752 0.042 0.500

Computed properties:
Space group = No. 58
Calculated total energy = -3.22 eV/atom
Energy of formation from the pure elements = 0.0 eV/f.u.

***

No. 3
First-principles (PBE-GGA) data for a relaxed NaSnPb2 crystal, as listed in the Alexandria database.

a b c (Å): 4.536 4.536 22.716
angles (deg): 90.00 90.00 120.00
Atoms (fractional coordinates):
Na 0.000 0.000 0.000
Na 0.333 0.667 0.667
Na 0.667 0.333 0.333
Sn 0.000 0.000 0.835
Sn 0.333 0.667 0.502
Sn 0.667 0.333 0.169
Pb 0.000 0.000 0.427
Pb 0.000 0.000 0.576
Pb 0.333 0.667 0.094
Pb 0.333 0.667 0.242
Pb 0.667 0.333 0.761
Pb 0.667 0.333 0.909

Computed properties:
Space group = No. 160
Calculated total energy = -3.15 eV/atom
Energy of formation from the pure elements = 0.1 eV/f.u.

***

No. 4
First-principles (PBE-GGA) data for a relaxed NaSnPb4 crystal, as listed in the Alexandria database.

a b c (Å): 6.548 6.548 6.548
angles (deg): 60.00 60.00 60.00
Atoms (fractional coordinates):
Na 0.000 0.000 0.000
Sn 0.750 0.750 0.750
Pb 0.375 0.375 0.375
Pb 0.375 0.375 0.874
Pb 0.375 0.874 0.375
Pb 0.874 0.375 0.375

Computed properties:
Distance to the lowest polymorph of the same formula = 77 kJ/mol of formula units
Space group = No. 216
Calculated total energy = -3.29 eV/atom
Energy of formation from the pure elements = 0.4 eV/f.u.

***

No. 5
First-principles (PBE-GGA) data for a relaxed Na3Sn2Pb7 crystal, as listed in the Alexandria database.

a b c (Å): 6.094 6.973 9.168
angles (deg): 100.83 97.99 107.67
Atoms (fractional coordinates):
Na 0.000 0.000 0.000
Na 0.001 0.831 0.333
Na 0.999 0.169 0.667
Sn 0.002 0.660 0.658
Sn 0.998 0.340 0.342
Pb 0.000 0.500 0.000
Pb 0.497 0.741 0.501
Pb 0.498 0.081 0.831
Pb 0.499 0.586 0.834
Pb 0.501 0.414 0.166
Pb 0.502 0.919 0.169
Pb 0.503 0.259 0.499

Computed properties:
Space group = No. 2
Calculated total energy = -3.24 eV/atom
Energy of formation from the pure elements = -1.0 eV/f.u.

***

No. 6
First-principles (PBE-GGA) data for a relaxed Na2Sn3Pb4 crystal, as listed in the Alexandria database.

a b c (Å): 5.914 5.914 10.408
angles (deg): 105.69 105.69 48.48
Atoms (fractional coordinates):
Na 0.164 0.164 0.222
Na 0.836 0.836 0.778
Sn 0.171 0.171 0.553
Sn 0.500 0.500 0.000
Sn 0.829 0.829 0.447
Pb 0.168 0.168 0.888
Pb 0.499 0.499 0.335
Pb 0.501 0.501 0.665
Pb 0.832 0.832 0.112

Computed properties:
Space group = No. 12
Calculated total energy = -3.34 eV/atom
Energy of formation from the pure elements = -0.6 eV/f.u.